Entry 1:
An optimized crystal structure of Li2FeOs. Source: the Alexandria database, functional GGA-PBE.

Summary:
E_form = 0.5635 eV/atom
SG = P4/mmm
Fermi-level density of states = 4.0 states/eV per cell
Excess energy over the best structure of this formula in the dataset = 399 meV per atom
Calculated volume = 12.7 A^3/atom
Theoretical density = 8.5 g/cm³
Electronic total energy = -5.32 eV per atom

Geometry as POSCAR:
```
Li2FeOs
1.0
4.481 0.000 0.000
0.000 4.481 0.000
0.000 0.000 2.526
Li Fe Os
2 1 1
Direct
0.500 0.500 0.000
0.000 0.000 0.000
0.000 0.500 0.500
0.500 0.000 0.500
```



Entry 2:
An optimized crystal structure of LiFeOs. Source: the Alexandria database, functional GGA-PBE.

Summary:
E_form = 0.2334 eV/atom
SG = P3m1
Fermi-level density of states = 2.0 states/eV per cell
Excess energy over the best structure of this formula in the dataset = 10 meV per atom
Calculated volume = 13.6 A^3/atom
Theoretical density = 10.3 g/cm³
Electronic total energy = -6.97 eV per atom

Geometry as POSCAR:
```
LiFeOs
1.0
-1.890 0.029 1.867
1.587 -2.116 -0.251
4.290 2.708 4.300
Fe Li Os
1 1 1
Direct
0.000 0.000 0.987
0.667 0.333 0.330
0.333 0.667 0.684
```



Entry 3:
An optimized crystal structure of Li2FeOs. Source: the Alexandria database, functional GGA-PBE.

Summary:
E_form = 0.3577 eV/atom
SG = P4/mmm
Fermi-level density of states = 3.8 states/eV per cell
Excess energy over the best structure of this formula in the dataset = 193 meV per atom
Calculated volume = 13.7 A^3/atom
Theoretical density = 7.9 g/cm³
Electronic total energy = -5.52 eV per atom

Geometry as POSCAR:
```
Li2FeOs
1.0
2.510 0.000 0.000
0.000 2.510 0.000
0.000 0.000 8.718
Li Os Fe
2 1 1
Direct
0.000 0.000 0.496
0.000 0.000 0.004
0.500 0.500 0.250
0.500 0.500 0.750
```



Entry 4:
An optimized crystal structure of LiFeOs4. Source: the Alexandria database, functional GGA-PBE.

Summary:
E_form = 0.6527 eV/atom
SG = F-43m
Fermi-level density of states = 6.1 states/eV per cell
Calculated volume = 15.8 A^3/atom
Theoretical density = 14.4 g/cm³
Electronic total energy = -8.56 eV per atom

Geometry as POSCAR:
```
LiFeOs4
1.0
0.000 3.619 3.619
3.619 0.000 3.619
3.619 3.619 0.000
Li Fe Os
1 1 4
Direct
0.000 0.000 0.000
0.250 0.250 0.250
0.625 0.625 0.625
0.625 0.625 0.125
0.625 0.125 0.625
0.125 0.625 0.625
```



Entry 5:
An optimized crystal structure of Li2FeOs. Source: the Alexandria database, functional GGA-PBE.

Summary:
E_form = 0.1843 eV/atom
SG = Pmm2
Fermi-level density of states = 2.5 states/eV per cell
Excess energy over the best structure of this formula in the dataset = 20 meV per atom
Calculated volume = 13.3 A^3/atom
Theoretical density = 8.1 g/cm³
Electronic total energy = -5.70 eV per atom

Geometry as POSCAR:
```
Li2FeOs
1.0
2.557 0.000 0.000
0.000 3.889 0.000
0.000 0.000 5.365
Fe Li Os
1 2 1
Direct
0.500 0.500 0.701
0.000 0.000 0.017
0.500 0.500 0.238
0.000 0.000 0.543
```



Entry 6:
An optimized crystal structure of LiFe2Os. Source: the Alexandria database, functional GGA-PBE.

Summary:
E_form = 0.2470 eV/atom
SG = Pmmm
Fermi-level density of states = 3.5 states/eV per cell
Calculated volume = 12.4 A^3/atom
Theoretical density = 10.4 g/cm³
Electronic total energy = -7.27 eV per atom

Geometry as POSCAR:
```
LiFe2Os
1.0
-0.417 0.729 2.422
3.570 -1.070 0.936
1.667 4.602 -1.098
Fe Os Li
2 1 1
Direct
0.000 0.000 0.995
0.000 0.000 0.505
0.500 0.500 0.750
0.500 0.500 0.250
```